Entry 1:
An optimized crystal structure of TaCr3Ga, computed with PBE.

Results
* size of the total moment: 1.658 μB per atom
* energy above the lowest structure with this stoichiometry: 264 meV per atom
* ΔE_f: 1588 meV per atom

abc: 4.7190 4.7190 4.7190
angles: 90.00 90.00 90.00
Each line ends with the local moment (μB).
Atoms (fractional coordinates):
Cr (0.0000, 0.5000, 0.0000)  2.73
Cr (0.5000, 0.0000, 0.0000)  3.16
Cr (0.0000, 0.0000, 0.5000)  2.52
Ta (0.0000, 0.0000, 0.0000)  -0.63
Ga (0.5000, 0.5000, 0.5000)  -0.07

Entry 2:
An optimized crystal structure of TaCrGa, computed with PBE.

Results
* size of the total moment: 0.002 μB per atom
* ΔE_f: 38 meV per atom

abc: 8.7349 4.6033 4.5748
angles: 90.00 90.00 90.00
Atoms (fractional coordinates):
Cr (0.3127, 0.5000, 0.5000)
Cr (0.6873, 0.5000, 0.5000)
Cr (0.8127, 0.0000, 0.5000)
Cr (0.1873, 0.0000, 0.5000)
Ga (0.5000, 0.0000, 0.5000)
Ga (0.5000, 0.5000, 0.0000)
Ga (0.0000, 0.5000, 0.5000)
Ga (0.0000, 0.0000, 0.0000)
Ta (0.6699, 0.0000, 0.0000)
Ta (0.8301, 0.5000, 0.0000)
Ta (0.3301, 0.0000, 0.0000)
Ta (0.1699, 0.5000, 0.0000)

Entry 3:
An optimized crystal structure of TaCrGa, computed with PBE.

Results
* size of the total moment: 0.000 μB per atom
* ΔE_f: 30 meV per atom

abc: 2.7483 4.3562 4.3562
angles: 120.00 90.00 90.00
Atoms (fractional coordinates):
Ta (0.6220, 0.6667, 0.3333)
Cr (0.3209, 0.3333, 0.6667)
Ga (0.0570, 0.0000, 0.0000)

Entry 4:
An optimized crystal structure of Ta2Cr3Ga, computed with PBE.

Results
* size of the total moment: 0.000 μB per atom
* ΔE_f: -175 meV per atom

abc: 4.8467 4.8467 5.0301
angles: 89.95 118.82 120.04
Atoms (fractional coordinates):
Cr (0.0000, 0.0000, 0.5000)
Cr (0.5000, 0.0000, 0.5000)
Cr (0.5000, 0.5000, 0.5000)
Ta (0.2446, 0.6223, 0.8669)
Ta (0.7554, 0.3777, 0.1331)
Ga (0.0000, 0.0000, 0.0000)